Version a
A plane-wave DFT calculation with PBE was carried out for a geometry-optimized AcCrP2 structure.

Calculated values
Magnetic moment   3.32 μB per formula unit
V   19.893 Å³/atom

abc: 3.544 3.544 6.337
angles: 90.00 90.00 90.00
Element x y z (fractional)
Cr  0.500  0.500  0.000
Ac  0.500  0.500  0.500
P  0.000  0.000  0.823
P  0.000  0.000  0.177

=====

Version b
A plane-wave DFT calculation with PBE was carried out for a geometry-optimized AcCrP2 structure.

Calculated values
Magnetic moment   2.82 μB per formula unit
V   20.963 Å³/atom

abc: 4.002 4.002 6.472
angles: 71.99 71.99 60.00
Element x y z (fractional)
Cr  0.000  0.000  0.000
Ac  0.500  0.500  0.500
P  0.725  0.725  0.826
P  0.275  0.275  0.174

=====

Of them, version b has the highest stability.

=====

Version a
A plane-wave DFT calculation with PBE was carried out for a geometry-optimized AcCrSb3 structure.

Calculated values
Magnetic moment   2.83 μB per formula unit
V   28.765 Å³/atom

abc: 5.239 5.239 5.239
angles: 90.00 90.00 90.00
Element x y z (fractional)
Sb  0.000  0.500  0.000
Sb  0.000  0.000  0.500
Sb  0.500  0.000  0.000
Ac  0.500  0.500  0.500
Cr  0.000  0.000  0.000

=====

Version b
A plane-wave DFT calculation with PBE was carried out for a geometry-optimized AcCrSb3 structure.

Calculated values
Magnetic moment   2.47 μB per formula unit
V   27.480 Å³/atom

abc: 6.272 6.356 13.786
angles: 90.00 90.00 90.00
Element x y z (fractional)
Ac  0.750  0.497  0.693
Ac  0.250  0.503  0.307
Ac  0.750  0.997  0.307
Ac  0.250  0.003  0.693
Cr  0.500  0.250  0.088
Cr  0.000  0.750  0.912
Cr  0.500  0.750  0.912
Cr  0.000  0.250  0.088
Sb  0.000  0.250  0.499
Sb  0.500  0.750  0.501
Sb  0.000  0.750  0.501
Sb  0.500  0.250  0.499
Sb  0.250  0.098  0.941
Sb  0.750  0.902  0.059
Sb  0.250  0.598  0.059
Sb  0.750  0.402  0.941
Sb  0.250  0.502  0.794
Sb  0.750  0.498  0.206
Sb  0.250  0.002  0.206
Sb  0.750  0.998  0.794

=====

Of them, version b has the highest stability.

=====

Version a
A plane-wave DFT calculation with PBE was carried out for a geometry-optimized AcCrSe3 structure.

Calculated values
Magnetic moment   3.12 μB per formula unit
V   24.340 Å³/atom

abc: 4.956 4.956 4.956
angles: 90.00 90.00 90.00
Element x y z (fractional)
Cr  0.000  0.000  0.000
Ac  0.500  0.500  0.500
Se  0.000  0.500  0.000
Se  0.000  0.000  0.500
Se  0.500  0.000  0.000

=====

Version b
A plane-wave DFT calculation with PBE was carried out for a geometry-optimized AcCrSe3 structure.

Calculated values
Magnetic moment   3.00 μB per formula unit
V   25.453 Å³/atom

abc: 6.465 8.148 9.755
angles: 97.82 90.00 90.00
Element x y z (fractional)
Ac  0.763  0.659  0.168
Ac  0.237  0.341  0.832
Ac  0.263  0.341  0.332
Ac  0.737  0.659  0.668
Cr  0.257  0.915  0.577
Cr  0.743  0.085  0.423
Cr  0.757  0.085  0.923
Cr  0.243  0.915  0.077
Se  0.077  0.946  0.335
Se  0.923  0.054  0.665
Se  0.577  0.054  0.165
Se  0.423  0.946  0.835
Se  0.562  0.817  0.433
Se  0.438  0.183  0.567
Se  0.062  0.183  0.067
Se  0.938  0.817  0.933
Se  0.219  0.601  0.612
Se  0.781  0.399  0.388
Se  0.719  0.399  0.888
Se  0.281  0.601  0.112

=====

Of them, version b has the highest stability.

=====

Version a
A plane-wave DFT calculation with PBE was carried out for a geometry-optimized CsAcF2 structure.

Calculated values
Magnetic moment   0.00 μB per formula unit
V   25.306 Å³/atom

abc: 3.578 3.578 7.907
angles: 90.00 90.00 90.00
Element x y z (fractional)
Cs  0.500  0.500  0.500
Ac  0.500  0.500  0.000
F  0.000  0.000  0.736
F  0.000  0.000  0.264

=====

Version b
A plane-wave DFT calculation with PBE was carried out for a geometry-optimized CsAcF2 structure.

Calculated values
Magnetic moment   0.00 μB per formula unit
V   24.702 Å³/atom

abc: 3.836 3.836 8.066
angles: 76.24 76.24 60.00
Element x y z (fractional)
Cs  0.500  0.500  0.500
Ac  0.000  0.000  0.000
F  0.749  0.749  0.754
F  0.251  0.251  0.246

=====

Of them, version b has the highest stability.